Computed, not measured: a geometry-optimized Sn3Ir2Se3 structure at the PBE level of DFT.

Output
Total DFT energy (no corrections) in eV/atom: -5.49

abc: 12.8208 12.8208 15.7218
angles: 90.00 90.00 120.00
Space group R-3 (No. 148, hexagonal axes)
Inequivalent atoms, fractional coordinates:
Sn 0.0099 0.1713 0.3396 [18 per cell]
Sn 0.0604 0.6051 0.6068 [18 per cell]
Ir 0.0000 0.0000 0.2454 [6 per cell]
Ir 0.9996 0.4990 0.2443 [18 per cell]
Se 0.0166 0.1809 0.8341 [18 per cell]
Se 0.0516 0.6013 0.1006 [18 per cell]